# InFeF5 | Alexandria via LeMat-Bulk | PBE+U | optimized geometry
data_InFeF5
_symmetry_space_group_name_H-M 'I m m m'
_symmetry_Int_Tables_number 71
_symmetry_space_group_name_Hall '-I 2 2'
_cell_length_a 4.0659
_cell_length_b 6.7100
_cell_length_c 8.0992
_cell_angle_alpha 90.00
_cell_angle_beta 90.00
_cell_angle_gamma 90.00
loop_
_atom_site_label
_atom_site_fract_x
_atom_site_fract_y
_atom_site_fract_z
In1 0.0000 0.0000 0.0000
Fe1 0.0000 0.0000 0.5000
F1 0.0000 0.0000 0.2613
F2 0.0000 0.3121 0.0000
F3 0.0000 0.5000 0.5000
# Raw total energy in eV/atom: -4.95